DFT (PBE) results for a relaxed LaTeBr crystal.

```
LaTeBr
1.0
-2.281 3.347 -2.114
2.261 -1.986 -5.583
-6.791 -5.197 -0.902
Br Te La
2 2 2
Cartesian
-0.814 0.065 -3.955
-5.986 -4.581 -0.795
-2.667 -2.041 -0.354
-4.133 -2.475 -4.396
-1.178 -2.760 -3.098
-5.622 -1.757 -1.653
```

**Symmetry**: Pmmn
**Energy relative to the elements, uncorrected**: -1.745 eV/atom
**D(E_F)**: 0.00 states/eV per atom

=====

DFT (PBE) results for a relaxed LaTeBr crystal.

```
LaTeBr
1.0
7.019 -0.132 0.000
-2.111 6.695 0.000
0.000 0.000 11.615
Br Te La
4 4 4
Cartesian
4.077 2.068 5.807
0.831 4.495 5.807
-0.488 5.482 0.000
5.396 1.082 0.000
2.952 3.947 1.964
0.498 0.665 3.844
1.957 2.616 9.651
4.411 5.898 7.771
1.195 1.598 0.911
3.649 4.879 4.897
3.713 4.965 10.704
1.259 1.684 6.718
```

**Symmetry**: Cmce
**Energy relative to the elements, uncorrected**: -1.546 eV/atom
**D(E_F)**: 0.00 states/eV per atom

=====

DFT (PBE) results for a relaxed LaTe2Br crystal.

```
LaTe2Br
1.0
-2.417 -0.764 6.833
-6.140 -1.813 3.483
-2.473 -5.263 4.395
Te Br La
2 1 1
Cartesian
-5.301 -3.768 7.070
-0.214 -0.152 0.286
-2.758 -1.960 3.678
-8.273 -5.880 11.033
```

**Symmetry**: R-3m
**Energy relative to the elements, uncorrected**: -0.679 eV/atom
**D(E_F)**: 1.27 states/eV per atom

=====

DFT (PBE) results for a relaxed La2TeBr2 crystal.

```
La2TeBr2
1.0
-2.683 7.879 -1.171
-4.070 -0.294 7.348
3.524 1.499 2.012
Te Br La
2 4 4
Cartesian
-3.377 3.792 3.088
0.000 0.000 0.000
-1.199 1.643 5.527
-3.459 5.516 6.600
-2.030 7.441 2.662
0.230 3.568 1.589
-4.358 2.462 5.799
-2.395 5.123 0.378
-4.935 6.457 3.832
-1.819 1.128 2.345
```

**Symmetry**: P4/mbm
**Energy relative to the elements, uncorrected**: -1.448 eV/atom
**D(E_F)**: 0.79 states/eV per atom

=====

- What is the formula in the third record?
  LaTe2Br

=====

- Look up the energy relative to the elements, uncorrected of the third one.
  -0.679 eV/atom

=====

- Which of these has the lowest energy relative to the elements, uncorrected?
  number 1

=====

- What is the D(E_F) in the third record?
  1.27 states/eV per atom